Entry 1:
A plane-wave DFT calculation with PBE was carried out for crystalline Ca2Pr4Tm at its relaxed geometry.

Energy above the lowest structure with this stoichiometry ... 0.000 eV per atom
Energy of formation from the pure elements ... 0.1138 eV/atom

a = 3.606 Å, b = 5.954 Å, c = 23.915 Å
α = 90.00°, β = 90.00°, γ = 90.00°
Space group Immm (No. 71)
Symmetry-distinct sites (fractional):
Ca 0.000 0.000 0.221 x4
Pr 0.000 0.500 0.130 x4
Pr 0.000 0.500 0.420 x4
Tm 0.000 0.000 0.500 x2

Entry 2:
A plane-wave DFT calculation with PBE was carried out for crystalline SrBeBr2 at its relaxed geometry.

Energy relative to the elements, uncorrected ... -0.327 eV per atom
Energy above the lowest structure with this stoichiometry ... 0.494 eV per atom

a = 3.7815 Å, b = 3.7815 Å, c = 28.3061 Å
α = 90.00°, β = 90.00°, γ = 120.00°
Space group R-3m (No. 166, hexagonal axes)
Symmetry-distinct sites (fractional):
Sr 0.0000 0.0000 0.0000 x3
Be 0.0000 0.0000 0.5000 x3
Br 0.0000 0.0000 0.1194 x6

Entry 3:
A plane-wave DFT calculation with PBE was carried out for crystalline TbRuW at its relaxed geometry.

Energy of formation from the pure elements ... 0.5569 eV/atom

a = 6.840 Å, b = 6.840 Å, c = 6.007 Å
α = 90.00°, β = 90.00°, γ = 90.00°
Space group P4_12_12 (No. 92)
Symmetry-distinct sites (fractional):
Tb 0.244 0.244 0.000 x4
Ru 0.049 0.049 0.500 x4
W 0.197 0.803 0.750 x4

| no. | calculated volume (Å³/atom) |
| --- | --- |
| 1 | 36.68 |
| 2 | 29.21 |
| 3 | 23.42 |